Entry 1:
Compound: NbTlB2O6
Source: OQMD
Functional: GGA-PBE
Structure: optimized geometry

Geometry as POSCAR:
```
NbTlB2O6
1.0
7.746 0.000 0.000
0.000 7.362 0.000
0.000 0.000 9.384
Nb Tl B O
4 4 8 24
Cartesian
1.169 1.755 0.000
2.704 5.436 4.692
5.042 1.926 0.000
6.577 5.607 4.692
0.008 1.855 3.679
3.865 5.536 8.371
3.881 1.825 3.679
7.738 5.506 8.371
1.607 4.255 1.996
1.776 3.008 6.660
2.097 6.689 1.968
2.266 0.574 6.688
5.481 6.788 1.996
5.649 0.673 6.660
5.971 4.354 1.968
6.139 3.107 6.688
0.592 6.074 4.684
1.001 3.256 1.283
1.059 3.003 7.814
1.679 5.502 1.354
1.753 0.495 1.386
1.793 0.386 7.951
2.081 4.067 3.259
2.120 4.176 6.078
2.194 1.821 6.046
2.814 6.684 3.122
2.872 6.937 5.975
3.281 2.393 9.376
4.466 4.969 4.684
4.875 0.425 1.283
4.932 0.678 7.814
5.552 5.540 1.354
5.626 3.186 1.386
5.666 3.295 7.951
5.954 6.976 3.259
5.994 6.867 6.078
6.067 1.859 6.046
6.687 4.359 3.122
6.745 4.106 5.975
7.154 1.288 9.376
```

- V: 13.38 A^3/atom
- VASP energy: -7.81 eV per atom

=====

Entry 2:
Compound: NbBOs
Source: OQMD
Functional: GGA-PBE
Structure: optimized geometry

Geometry as POSCAR:
```
NbBOs
1.0
9.119 0.000 0.000
0.000 15.857 0.000
0.000 0.000 3.107
Nb B Os
12 12 12
Cartesian
0.137 1.493 0.000
1.716 11.134 0.000
1.830 7.860 0.000
2.730 15.789 0.000
2.844 3.205 0.000
4.423 9.422 0.000
4.697 6.435 0.000
6.275 12.652 0.000
6.390 0.069 0.000
7.289 7.997 0.000
7.404 4.723 0.000
8.983 14.364 0.000
0.956 15.822 1.553
0.998 5.271 0.000
1.961 1.547 1.553
2.599 9.476 1.553
3.562 13.199 0.000
3.604 7.894 1.553
5.516 7.964 1.553
5.558 2.658 0.000
6.520 6.381 1.553
7.159 14.310 1.553
8.122 10.587 0.000
8.164 0.035 1.553
0.145 9.420 1.553
0.548 3.727 1.553
2.006 13.558 1.553
2.554 5.629 1.553
4.012 11.655 1.553
4.415 1.492 1.553
4.704 14.366 1.553
5.108 4.202 1.553
6.566 10.228 1.553
7.113 2.300 1.553
8.571 12.131 1.553
8.975 6.437 1.553
```

- V: 12.48 A^3/atom
- Energy above the most stable polymorph in this dataset: 0 meV/atom
- VASP energy: -9.85 eV per atom

=====

Entry 3:
Compound: NbBOs
Source: OQMD
Functional: GGA-PBE
Structure: optimized geometry

Geometry as POSCAR:
```
NbBOs
1.0
0.000 2.878 2.878
2.878 0.000 2.878
2.878 2.878 0.000
Nb B Os
1 1 1
Cartesian
0.000 0.000 0.000
2.878 2.878 2.878
4.317 4.317 4.317
```

- V: 15.89 A^3/atom
- Energy above the most stable polymorph in this dataset: 1222 meV/atom
- VASP energy: -8.63 eV per atom

=====

Entry 4:
Compound: NbBOs2
Source: OQMD
Functional: GGA-PBE
Structure: optimized geometry

Geometry as POSCAR:
```
NbBOs2
1.0
0.000 3.029 3.029
3.029 0.000 3.029
3.029 3.029 0.000
Nb B Os
1 1 2
Cartesian
0.000 0.000 0.000
4.543 4.543 4.543
1.514 1.514 1.514
3.029 3.029 3.029
```

- V: 13.89 A^3/atom
- VASP energy: -9.14 eV per atom